Here is LaTiCdSe2 after structural relaxation from the Alexandria database. Energies are from PBE.

Geometry as POSCAR:
```
LaTiCdSe2
1.0
-3.0952 -4.7491 0.0584
0.6913 -0.3834 5.4604
-4.6960 3.0706 0.8101
Cd Ti Se La
1 1 2 1
Direct
0.5000 0.5000 0.5000
0.0000 0.5000 0.0000
0.0000 0.0000 0.5000
0.5000 0.0000 0.0000
0.0000 0.0000 0.0000
```

Properties
**D(E_F)**: 9.39 states/eV per cell
**DFT total energy**: -18.526 eV per cell
**Space group**: P4/mmm, No. 123
**M_tot**: 0.000 μB/atom
**Raw formation energy**: 42.1 kJ/mol of atoms